1.
This record from Alexandria describes a relaxed HfV2Rh2 crystal. The functional is PBE.

CIF file:
```
data_HfV2Rh2
_cell_length_a 5.8489
_cell_length_b 5.8489
_cell_length_c 5.8489
_cell_angle_alpha 139.78
_cell_angle_beta 139.78
_cell_angle_gamma 58.18
_space_group_name_H-M_alt 'P 1'
_space_group_IT_number 1
loop_
_space_group_symop_operation_xyz
'x,y,z'
loop_
_atom_site_label
_atom_site_fract_x
_atom_site_fract_y
_atom_site_fract_z
Hf1 0.0000 0.0000 0.0000
V1 0.3851 0.3851 0.0000
V2 0.6149 0.6149 0.0000
Rh1 0.2500 0.7500 0.5000
Rh2 0.7500 0.2500 0.5000
```

Calculated values
The energy above the lowest structure with this stoichiometry comes out at 148 meV/atom. The size of the total moment comes out at 0.0001 μB per atom. The value obtained for the energy of formation is -0.12 eV per atom. As for the total energy: -8.7026 eV per atom. For the density of states at the Fermi level, the calculation gives 5.83 states/eV/cell.

2.
This record from Alexandria describes a relaxed HoGa4Bi crystal. The functional is PBE.

CIF file:
```
data_HoGa4Bi
_cell_length_a 5.6510
_cell_length_b 5.6510
_cell_length_c 5.6510
_cell_angle_alpha 60.00
_cell_angle_beta 60.00
_cell_angle_gamma 60.00
_space_group_name_H-M_alt 'P 1'
_space_group_IT_number 1
loop_
_space_group_symop_operation_xyz
'x,y,z'
loop_
_atom_site_label
_atom_site_fract_x
_atom_site_fract_y
_atom_site_fract_z
Ho1 0.0000 0.0000 0.0000
Ga1 0.3748 0.3748 0.3748
Ga2 0.3748 0.3748 0.8756
Ga3 0.3748 0.8756 0.3748
Ga4 0.8756 0.3748 0.3748
Bi1 0.7500 0.7500 0.7500
```

Calculated values
The size of the total moment comes out at 0.0000 μB per atom. The value obtained for the energy of formation is -0.21 eV per atom. As for the total energy: -3.6385 eV per atom. For the density of states at the Fermi level, the calculation gives 3.44 states/eV/cell.

3.
This record from Alexandria describes a relaxed Li2DyTl crystal. The functional is PBE.

CIF file:
```
data_Li2DyTl
_cell_length_a 4.5469
_cell_length_b 4.5469
_cell_length_c 4.5376
_cell_angle_alpha 90.00
_cell_angle_beta 90.00
_cell_angle_gamma 90.00
_space_group_name_H-M_alt 'P 1'
_space_group_IT_number 1
loop_
_space_group_symop_operation_xyz
'x,y,z'
loop_
_atom_site_label
_atom_site_fract_x
_atom_site_fract_y
_atom_site_fract_z
Li1 0.0000 0.5000 0.0000
Li2 0.5000 0.0000 0.0000
Dy1 0.0000 0.0000 0.5000
Tl1 0.5000 0.5000 0.5000
```

Calculated values
The energy above the lowest structure with this stoichiometry comes out at 134 meV/atom. The size of the total moment comes out at 0.0013 μB per atom. The value obtained for the energy of formation is -0.09 eV per atom. As for the total energy: -2.7880 eV per atom. For the density of states at the Fermi level, the calculation gives 4.00 states/eV/cell.

4.
This record from Alexandria describes a relaxed Ta2TlTe crystal. The functional is PBE.

CIF file:
```
data_Ta2TlTe
_cell_length_a 3.1545
_cell_length_b 3.1545
_cell_length_c 9.4827
_cell_angle_alpha 90.00
_cell_angle_beta 90.00
_cell_angle_gamma 115.44
_space_group_name_H-M_alt 'P 1'
_space_group_IT_number 1
loop_
_space_group_symop_operation_xyz
'x,y,z'
loop_
_atom_site_label
_atom_site_fract_x
_atom_site_fract_y
_atom_site_fract_z
Ta1 0.0000 0.0000 0.2386
Ta2 0.0000 0.0000 0.7614
Tl1 0.5000 0.5000 0.5000
Te1 0.5000 0.5000 0.0000
```

Calculated values
The value obtained for the formation energy (no corrections) is 640 meV/atom. The energy above the lowest structure with this stoichiometry comes out at 471 meV/atom. The size of the total moment comes out at 0.0000 μB per atom. As for the total energy: -6.6628 eV per atom. For the density of states at the Fermi level, the calculation gives 3.06 states/eV/cell.

5.
This record from Alexandria describes a relaxed SrSb2Au crystal. The functional is PBE.

CIF file:
```
data_SrSb2Au
_cell_length_a 4.8060
_cell_length_b 5.3258
_cell_length_c 5.0063
_cell_angle_alpha 90.00
_cell_angle_beta 90.80
_cell_angle_gamma 90.00
_space_group_name_H-M_alt 'P 1'
_space_group_IT_number 1
loop_
_space_group_symop_operation_xyz
'x,y,z'
loop_
_atom_site_label
_atom_site_fract_x
_atom_site_fract_y
_atom_site_fract_z
Sr1 0.0000 0.0000 0.0000
Sb1 0.4921 0.0000 0.4965
Sb2 0.5424 0.5000 0.1810
Au1 0.3289 0.5000 0.6880
```

Calculated values
The value obtained for the formation energy (no corrections) is -435 meV/atom. The size of the total moment comes out at 0.0000 μB per atom. As for the total energy: -3.7361 eV per atom. For the density of states at the Fermi level, the calculation gives 1.76 states/eV/cell.

6.
This record from Alexandria describes a relaxed PmBe3Rh2 crystal. The functional is PBE.

CIF file:
```
data_PmBe3Rh2
_cell_length_a 5.6460
_cell_length_b 5.6460
_cell_length_c 5.5717
_cell_angle_alpha 90.00
_cell_angle_beta 90.00
_cell_angle_gamma 74.18
_space_group_name_H-M_alt 'P 1'
_space_group_IT_number 1
loop_
_space_group_symop_operation_xyz
'x,y,z'
loop_
_atom_site_label
_atom_site_fract_x
_atom_site_fract_y
_atom_site_fract_z
Pm1 0.1707 0.8293 0.7500
Pm2 0.8293 0.1707 0.2500
Be1 0.0303 0.5961 0.2500
Be2 0.4039 0.9697 0.2500
Be3 0.4122 0.5878 0.2500
Be4 0.5878 0.4122 0.7500
Be5 0.5961 0.0303 0.7500
Be6 0.9697 0.4039 0.7500
Rh1 0.3044 0.3044 0.0000
Rh2 0.3044 0.3044 0.5000
Rh3 0.6956 0.6956 0.0000
Rh4 0.6956 0.6956 0.5000
```

Calculated values
The size of the total moment comes out at 0.0000 μB per atom. The value obtained for the energy of formation is -0.55 eV per atom. As for the total energy: -5.6564 eV per atom. For the density of states at the Fermi level, the calculation gives 5.99 states/eV/cell.

7.
This record from Alexandria describes a relaxed Mn2AgPd crystal. The functional is PBE.

CIF file:
```
data_Mn2AgPd
_cell_length_a 4.2830
_cell_length_b 4.2830
_cell_length_c 4.2830
_cell_angle_alpha 60.00
_cell_angle_beta 60.00
_cell_angle_gamma 60.00
_space_group_name_H-M_alt 'P 1'
_space_group_IT_number 1
loop_
_space_group_symop_operation_xyz
'x,y,z'
loop_
_atom_site_label
_atom_site_fract_x
_atom_site_fract_y
_atom_site_fract_z
Mn1 0.2500 0.2500 0.2500
Mn2 0.7500 0.7500 0.7500
Ag1 0.0000 0.0000 0.0000
Pd1 0.5000 0.5000 0.5000
```

Calculated values
The energy above the lowest structure with this stoichiometry comes out at 751 meV/atom. The size of the total moment comes out at 0.0000 μB per atom. The value obtained for the energy of formation is 0.82 eV per atom. As for the total energy: -5.7752 eV per atom. For the density of states at the Fermi level, the calculation gives 13.69 states/eV/cell.

8.
This record from Alexandria describes a relaxed Er2Ga2Fe2C crystal. The functional is PBE.

CIF file:
```
data_Er2Ga2Fe2C
_cell_length_a 5.7132
_cell_length_b 5.7132
_cell_length_c 6.9251
_cell_angle_alpha 125.87
_cell_angle_beta 125.87
_cell_angle_gamma 40.05
_space_group_name_H-M_alt 'P 1'
_space_group_IT_number 1
loop_
_space_group_symop_operation_xyz
'x,y,z'
loop_
_atom_site_label
_atom_site_fract_x
_atom_site_fract_y
_atom_site_fract_z
Er1 0.0571 0.0571 0.2835
Er2 0.9429 0.9429 0.7165
Ga1 0.3425 0.3425 0.2961
Ga2 0.6575 0.6575 0.7039
Fe1 0.3061 0.3061 0.9136
Fe2 0.6939 0.6939 0.0864
C1 0.5000 0.5000 0.0000
```

Calculated values
The size of the total moment comes out at 0.0000 μB per atom. The value obtained for the energy of formation is -0.45 eV per atom. As for the total energy: -6.3585 eV per atom. For the density of states at the Fermi level, the calculation gives 4.65 states/eV/cell.

9.
This record from Alexandria describes a relaxed AlTlCd crystal. The functional is PBE.

CIF file:
```
data_AlTlCd
_cell_length_a 3.1931
_cell_length_b 3.1931
_cell_length_c 8.1311
_cell_angle_alpha 90.00
_cell_angle_beta 90.00
_cell_angle_gamma 120.00
_space_group_name_H-M_alt 'P 1'
_space_group_IT_number 1
loop_
_space_group_symop_operation_xyz
'x,y,z'
loop_
_atom_site_label
_atom_site_fract_x
_atom_site_fract_y
_atom_site_fract_z
Al1 0.0000 0.0000 0.0000
Tl1 0.3333 0.6667 0.6700
Cd1 0.6667 0.3333 0.2996
```

Calculated values
The size of the total moment comes out at 0.0000 μB per atom. The value obtained for the energy of formation is 0.20 eV per atom. As for the total energy: -2.1438 eV per atom. For the density of states at the Fermi level, the calculation gives 2.25 states/eV/cell.

10.
This record from Alexandria describes a relaxed Nb3PdPb crystal. The functional is PBE.

CIF file:
```
data_Nb3PdPb
_cell_length_a 5.1042
_cell_length_b 5.1042
_cell_length_c 5.1042
_cell_angle_alpha 90.00
_cell_angle_beta 90.00
_cell_angle_gamma 90.00
_space_group_name_H-M_alt 'P 1'
_space_group_IT_number 1
loop_
_space_group_symop_operation_xyz
'x,y,z'
loop_
_atom_site_label
_atom_site_fract_x
_atom_site_fract_y
_atom_site_fract_z
Nb1 0.0000 0.0000 0.5000
Nb2 0.0000 0.5000 0.0000
Nb3 0.5000 0.0000 0.0000
Pd1 0.5000 0.5000 0.5000
Pb1 0.0000 0.0000 0.0000
```

Calculated values
The energy above the lowest structure with this stoichiometry comes out at 1048 meV/atom. The size of the total moment comes out at 0.1914 μB per atom. The value obtained for the energy of formation is 2.10 eV per atom. As for the total energy: -5.7189 eV per atom. For the density of states at the Fermi level, the calculation gives 5.61 states/eV/cell.

11.
This record from Alexandria describes a relaxed Ag3Pb crystal. The functional is PBE.

CIF file:
```
data_Ag3Pb
_cell_length_a 4.3569
_cell_length_b 4.3569
_cell_length_c 4.3569
_cell_angle_alpha 90.00
_cell_angle_beta 90.00
_cell_angle_gamma 90.00
_space_group_name_H-M_alt 'P 1'
_space_group_IT_number 1
loop_
_space_group_symop_operation_xyz
'x,y,z'
loop_
_atom_site_label
_atom_site_fract_x
_atom_site_fract_y
_atom_site_fract_z
Ag1 0.0000 0.0000 0.5000
Ag2 0.0000 0.5000 0.0000
Ag3 0.5000 0.0000 0.0000
Pb1 0.5000 0.5000 0.5000
```

Calculated values
The size of the total moment comes out at 0.0000 μB per atom. The value obtained for the energy of formation is 0.10 eV per atom. As for the total energy: -2.9657 eV per atom. For the density of states at the Fermi level, the calculation gives 1.52 states/eV/cell.

12.
This record from Alexandria describes a relaxed LaTlMo crystal. The functional is PBE.

CIF file:
```
data_LaTlMo
_cell_length_a 4.9103
_cell_length_b 4.9103
_cell_length_c 4.9103
_cell_angle_alpha 60.00
_cell_angle_beta 60.00
_cell_angle_gamma 60.00
_space_group_name_H-M_alt 'P 1'
_space_group_IT_number 1
loop_
_space_group_symop_operation_xyz
'x,y,z'
loop_
_atom_site_label
_atom_site_fract_x
_atom_site_fract_y
_atom_site_fract_z
La1 0.0000 0.0000 0.0000
Tl1 0.5000 0.5000 0.5000
Mo1 0.2500 0.2500 0.2500
```

Calculated values
The energy above the lowest structure with this stoichiometry comes out at 227 meV/atom. The size of the total moment comes out at 0.6874 μB per atom. The value obtained for the energy of formation is 0.68 eV per atom. As for the total energy: -5.3619 eV per atom. For the density of states at the Fermi level, the calculation gives 4.02 states/eV/cell.